The following is a PBE calculation of crystalline Cd2AgW at its relaxed geometry, from Alexandria.

extended XYZ file:
```
4
Lattice="2.869 0.000 0.000 0.000 5.060 0.000 0.000 0.000 5.191" Properties=species:S:1:pos:R:3 pbc="T T T"
Cd 0.000 0.000 0.000
Cd 1.435 0.000 2.596
Ag 0.000 2.530 2.596
W 1.435 2.530 0.000
```

Summary:
The offset from the most stable computed form is 324 meV/atom.

***

The following is a PBE calculation of crystalline CdAg3W at its relaxed geometry, from Alexandria.

extended XYZ file:
```
5
Lattice="4.911 0.000 0.000 0.000 4.911 0.000 0.000 0.000 4.911" Properties=species:S:1:pos:R:3 pbc="T T T"
Cd 0.000 0.000 0.000
Ag 0.000 0.000 2.456
Ag 0.000 2.456 0.000
Ag 2.456 0.000 0.000
W 2.456 2.456 2.456
```

Summary:
The offset from the most stable computed form is 289 meV/atom.

***

The following is a PBE calculation of crystalline CdAg2W at its relaxed geometry, from Alexandria.

extended XYZ file:
```
4
Lattice="2.778 0.000 0.000 0.000 4.303 0.000 -0.157 0.000 5.961" Properties=species:S:1:pos:R:3 pbc="T T T"
Cd 0.000 0.000 0.000
Ag 1.332 2.152 1.566
Ag 1.288 2.152 4.395
W -0.079 0.000 2.980
```

***

The following is a PBE calculation of crystalline CdAg2W at its relaxed geometry, from Alexandria.

extended XYZ file:
```
4
Lattice="2.812 0.000 0.000 0.000 2.812 0.000 0.000 0.000 8.933" Properties=species:S:1:pos:R:3 pbc="T T T"
Cd 0.000 0.000 0.000
Ag 1.406 1.406 2.307
Ag 1.406 1.406 6.626
W 0.000 0.000 4.467
```

***

The following is a PBE calculation of crystalline CdAgW at its relaxed geometry, from Alexandria.

extended XYZ file:
```
3
Lattice="2.872 0.000 0.000 -1.436 2.487 0.000 0.000 0.000 7.465" Properties=species:S:1:pos:R:3 pbc="T T T"
Cd 0.000 0.000 0.000
Ag 0.000 1.658 4.945
W 1.436 0.829 2.536
```

Summary:
The offset from the most stable computed form is 0 meV/atom.

***

The following is a PBE calculation of crystalline CdAgW at its relaxed geometry, from Alexandria.

extended XYZ file:
```
3
Lattice="-1.396 1.396 6.801 1.396 -1.396 6.801 1.396 1.396 -6.801" Properties=species:S:1:pos:R:3 pbc="T T T"
Cd 0.000 0.000 0.000
Ag 0.000 0.000 9.130
W 0.000 0.000 4.513
```

Summary:
The offset from the most stable computed form is 11 meV/atom.

***

The following is a PBE calculation of crystalline CdAgW4 at its relaxed geometry, from Alexandria.

extended XYZ file:
```
6
Lattice="0.000 3.791 3.791 3.791 0.000 3.791 3.791 3.791 0.000" Properties=species:S:1:pos:R:3 pbc="T T T"
Cd 0.000 0.000 0.000
Ag 1.895 1.895 1.895
W 4.738 2.844 2.844
W 2.844 4.738 2.844
W 2.844 2.844 4.738
W 4.738 4.738 4.738
```

***

The following is a PBE calculation of crystalline CdAg2W at its relaxed geometry, from Alexandria.

extended XYZ file:
```
4
Lattice="-1.388 2.552 5.114 1.388 -2.552 5.114 1.388 2.552 -5.114" Properties=species:S:1:pos:R:3 pbc="T T T"
Cd 0.000 0.000 0.000
Ag 0.000 0.000 5.118
Ag 0.000 2.552 2.542
W 1.388 0.000 2.599
```

***

The following is a PBE calculation of crystalline CdAg2W at its relaxed geometry, from Alexandria.

extended XYZ file:
```
4
Lattice="2.812 0.000 0.000 0.000 2.812 0.000 0.000 0.000 8.977" Properties=species:S:1:pos:R:3 pbc="T T T"
Cd 0.000 0.000 0.000
Ag 0.000 0.000 4.417
Ag 1.406 1.406 6.645
W 1.406 1.406 2.257
```

***

The following is a PBE calculation of crystalline Cd2AgW at its relaxed geometry, from Alexandria.

extended XYZ file:
```
4
Lattice="0.000 3.366 3.366 3.366 0.000 3.366 3.366 3.366 0.000" Properties=species:S:1:pos:R:3 pbc="T T T"
Cd 0.000 0.000 0.000
Cd 1.683 1.683 1.683
Ag 3.366 3.366 3.366
W 5.048 5.048 5.048
```

Summary:
The offset from the most stable computed form is 469 meV/atom.

***

The following is a PBE calculation of crystalline CdAg2W at its relaxed geometry, from Alexandria.

extended XYZ file:
```
4
Lattice="1.556 -2.317 0.000 1.556 2.317 0.000 0.000 0.000 9.890" Properties=species:S:1:pos:R:3 pbc="T T T"
Cd 0.000 0.000 0.000
Ag 1.556 0.000 2.534
Ag 1.556 0.000 7.356
W 0.000 0.000 4.945
```

***

The following is a PBE calculation of crystalline Cd2AgW at its relaxed geometry, from Alexandria.

extended XYZ file:
```
4
Lattice="1.467 0.847 9.908 -1.467 0.847 9.908 0.000 -1.694 9.908" Properties=species:S:1:pos:R:3 pbc="T T T"
Cd 0.000 0.000 7.430
Cd 0.000 0.000 22.294
Ag 0.000 0.000 0.000
W 0.000 0.000 14.862
```

Summary:
The offset from the most stable computed form is 22 meV/atom.

***

The following is a PBE calculation of crystalline Cd2AgW at its relaxed geometry, from Alexandria.

extended XYZ file:
```
4
Lattice="0.000 3.363 3.363 3.363 0.000 3.363 3.363 3.363 0.000" Properties=species:S:1:pos:R:3 pbc="T T T"
Cd 1.682 1.682 1.682
Cd 5.045 5.045 5.045
Ag 0.000 0.000 0.000
W 3.363 3.363 3.363
```

Summary:
The offset from the most stable computed form is 458 meV/atom.

***

The following is a PBE calculation of crystalline CdAg2W at its relaxed geometry, from Alexandria.

extended XYZ file:
```
4
Lattice="2.805 0.000 0.000 0.000 5.065 0.000 0.000 0.000 5.103" Properties=species:S:1:pos:R:3 pbc="T T T"
Cd 0.000 0.000 0.000
Ag 0.000 2.533 2.552
Ag 1.403 2.533 0.000
W 1.403 0.000 2.552
```

***

The following is a PBE calculation of crystalline Cd2AgW at its relaxed geometry, from Alexandria.

extended XYZ file:
```
4
Lattice="3.039 -4.403 0.000 3.039 4.403 0.000 -0.013 0.000 2.771" Properties=species:S:1:pos:R:3 pbc="T T T"
Cd 1.519 2.202 0.000
Cd 1.519 -2.202 0.000
Ag -0.006 0.000 1.385
W 3.032 0.000 1.385
```

Summary:
The offset from the most stable computed form is 133 meV/atom.

***

The following is a PBE calculation of crystalline Cd2AgW at its relaxed geometry, from Alexandria.

extended XYZ file:
```
4
Lattice="2.790 0.000 0.000 0.000 4.629 0.000 -1.178 0.000 5.764" Properties=species:S:1:pos:R:3 pbc="T T T"
Cd 0.228 0.000 1.405
Cd 1.384 0.000 4.359
Ag -0.589 2.314 2.882
W 1.395 2.314 0.000
```

Summary:
The offset from the most stable computed form is 222 meV/atom.

***

The following is a PBE calculation of crystalline Cd2AgW at its relaxed geometry, from Alexandria.

extended XYZ file:
```
4
Lattice="5.611 -1.382 0.000 5.611 1.382 0.000 -2.405 0.000 4.801" Properties=species:S:1:pos:R:3 pbc="T T T"
Cd 0.000 0.000 0.000
Cd 1.356 0.000 2.673
Ag 4.275 0.000 2.343
W 8.243 0.000 0.254
```

Summary:
The offset from the most stable computed form is 143 meV/atom.

***

The following is a PBE calculation of crystalline CdAgW at its relaxed geometry, from Alexandria.

extended XYZ file:
```
3
Lattice="0.000 3.140 3.140 3.140 0.000 3.140 3.140 3.140 0.000" Properties=species:S:1:pos:R:3 pbc="T T T"
Cd 0.000 0.000 0.000
Ag 4.710 4.710 4.710
W 3.140 3.140 3.140
```

Summary:
The offset from the most stable computed form is 902 meV/atom.

***

The following is a PBE calculation of crystalline CdAg2W at its relaxed geometry, from Alexandria.

extended XYZ file:
```
4
Lattice="2.920 -4.969 0.000 2.920 4.969 0.000 -1.025 0.000 2.483" Properties=species:S:1:pos:R:3 pbc="T T T"
Cd 0.000 0.000 0.000
Ag 0.947 2.484 1.241
Ag 0.947 -2.484 1.241
W 2.920 0.000 0.000
```

***

The following is a PBE calculation of crystalline Cd2AgW at its relaxed geometry, from Alexandria.

extended XYZ file:
```
4
Lattice="-2.096 2.096 4.271 2.096 -2.096 4.271 2.096 2.096 -4.271" Properties=species:S:1:pos:R:3 pbc="T T T"
Cd 0.000 0.000 0.000
Cd 0.000 2.096 2.135
Ag 0.000 0.000 4.271
W 2.096 0.000 2.135
```

Summary:
The offset from the most stable computed form is 450 meV/atom.

***

The following is a PBE calculation of crystalline CdAg2W at its relaxed geometry, from Alexandria.

extended XYZ file:
```
4
Lattice="-2.122 2.122 4.011 2.122 -2.122 4.011 2.122 2.122 -4.011" Properties=species:S:1:pos:R:3 pbc="T T T"
Cd 0.000 0.000 0.000
Ag 0.000 0.000 4.011
Ag 0.000 2.122 2.005
W 2.122 0.000 2.005
```

***

The following is a PBE calculation of crystalline Cd2AgW at its relaxed geometry, from Alexandria.

extended XYZ file:
```
4
Lattice="2.820 0.000 0.000 0.000 4.414 0.000 0.000 0.000 5.985" Properties=species:S:1:pos:R:3 pbc="T T T"
Cd 0.000 0.000 0.000
Cd 1.410 2.207 1.634
Ag 1.410 2.207 4.477
W 0.000 0.000 3.055
```

Summary:
The offset from the most stable computed form is 238 meV/atom.

***

The following is a PBE calculation of crystalline Cd2AgW at its relaxed geometry, from Alexandria.

extended XYZ file:
```
4
Lattice="5.139 0.000 0.000 0.000 5.139 0.000 0.000 0.000 2.849" Properties=species:S:1:pos:R:3 pbc="T T T"
Cd 0.000 2.569 0.000
Cd 2.569 0.000 0.000
Ag 0.000 0.000 1.425
W 2.569 2.569 1.425
```

Summary:
The offset from the most stable computed form is 228 meV/atom.

***

The following is a PBE calculation of crystalline CdAg2W at its relaxed geometry, from Alexandria.

extended XYZ file:
```
4
Lattice="2.950 -4.464 0.000 2.950 4.464 0.000 0.000 0.000 2.717" Properties=species:S:1:pos:R:3 pbc="T T T"
Cd 0.000 0.000 0.000
Ag 1.475 2.232 1.358
Ag 1.475 -2.232 1.358
W 2.950 0.000 0.000
```

***

The following is a PBE calculation of crystalline Cd2AgW at its relaxed geometry, from Alexandria.

extended XYZ file:
```
4
Lattice="1.457 0.841 10.178 -1.457 0.841 10.178 0.000 -1.683 10.178" Properties=species:S:1:pos:R:3 pbc="T T T"
Cd 0.000 0.000 0.000
Cd 0.000 0.000 7.378
Ag 0.000 0.000 15.030
W 0.000 0.000 22.830
```

Summary:
The offset from the most stable computed form is 45 meV/atom.

***

The following is a PBE calculation of crystalline Y4Cd3Ag2 at its relaxed geometry, from Alexandria.

extended XYZ file:
```
9
Lattice="4.435 -2.563 0.000 4.435 2.563 0.000 -0.011 0.000 9.849" Properties=species:S:1:pos:R:3 pbc="T T T"
Y -0.002 0.000 1.673
Y 8.861 0.000 8.176
Y 2.952 0.000 3.773
Y 5.907 0.000 6.076
Cd -0.006 0.000 4.924
Cd 2.956 0.000 0.092
Cd 5.903 0.000 9.757
Ag 2.950 0.000 6.821
Ag 5.909 0.000 3.028
```

***

The following is a PBE calculation of crystalline YCd3Ag at its relaxed geometry, from Alexandria.

extended XYZ file:
```
5
Lattice="5.902 0.000 0.000 0.000 5.902 0.000 0.000 0.000 5.902" Properties=species:S:1:pos:R:3 pbc="T T T"
Y 0.000 0.000 0.000
Cd 0.000 0.000 2.951
Cd 0.000 2.951 0.000
Cd 2.951 0.000 0.000
Ag 2.951 2.951 2.951
```

Summary:
The offset from the most stable computed form is 1024 meV/atom.

***

The following is a PBE calculation of crystalline YCd3Ag at its relaxed geometry, from Alexandria.

extended XYZ file:
```
5
Lattice="5.146 0.000 0.000 0.000 5.146 0.000 0.000 0.000 5.146" Properties=species:S:1:pos:R:3 pbc="T T T"
Y 0.000 0.000 0.000
Cd 0.000 2.573 2.573
Cd 2.573 0.000 2.573
Cd 2.573 2.573 0.000
Ag 2.573 2.573 2.573
```

Summary:
The offset from the most stable computed form is 374 meV/atom.

***

The following is a PBE calculation of crystalline Y4Cd2Ag at its relaxed geometry, from Alexandria.

extended XYZ file:
```
7
Lattice="2.603 1.503 8.430 -2.603 1.503 8.430 0.000 -3.006 8.430" Properties=species:S:1:pos:R:3 pbc="T T T"
Y 0.000 0.000 3.099
Y 0.000 0.000 9.444
Y 0.000 0.000 15.846
Y 0.000 0.000 22.191
Cd 0.000 0.000 6.315
Cd 0.000 0.000 18.975
Ag 0.000 0.000 12.645
```

***

Number 1: calculated formation energy 0.665 eV/atom, uncorrected energy -3.743 eV per atom. Number 2: calculated formation energy 1.877 eV/atom, uncorrected energy -2.607 eV per atom. Number 3: calculated formation energy 0.571 eV/atom, uncorrected energy -4.322 eV per atom. Number 4: calculated formation energy 0.400 eV/atom, uncorrected energy -4.493 eV per atom. Number 5: calculated formation energy 0.472 eV/atom, uncorrected energy -5.101 eV per atom. Number 6: calculated formation energy 0.482 eV/atom, uncorrected energy -5.091 eV per atom. Number 7: calculated formation energy 0.773 eV/atom, uncorrected energy -8.491 eV per atom. Number 8: calculated formation energy 0.620 eV/atom, uncorrected energy -4.273 eV per atom. Number 9: calculated formation energy 0.384 eV/atom, uncorrected energy -4.509 eV per atom. Number 10: calculated formation energy 0.811 eV/atom, uncorrected energy -3.598 eV per atom. Number 11: calculated formation energy 0.392 eV/atom, uncorrected energy -4.501 eV per atom. Number 12: calculated formation energy 0.364 eV/atom, uncorrected energy -4.045 eV per atom. Number 13: calculated formation energy 0.799 eV/atom, uncorrected energy -3.609 eV per atom. Number 14: calculated formation energy 0.626 eV/atom, uncorrected energy -4.266 eV per atom. Number 15: calculated formation energy 0.475 eV/atom, uncorrected energy -3.934 eV per atom. Number 16: calculated formation energy 0.564 eV/atom, uncorrected energy -3.845 eV per atom. Number 17: calculated formation energy 0.485 eV/atom, uncorrected energy -3.924 eV per atom. Number 18: calculated formation energy 1.374 eV/atom, uncorrected energy -4.199 eV per atom. Number 19: calculated formation energy 0.569 eV/atom, uncorrected energy -4.323 eV per atom. Number 20: calculated formation energy 0.792 eV/atom, uncorrected energy -3.617 eV per atom. Number 21: calculated formation energy 0.822 eV/atom, uncorrected energy -4.071 eV per atom. Number 22: calculated formation energy 0.580 eV/atom, uncorrected energy -3.829 eV per atom. Number 23: calculated formation energy 0.570 eV/atom, uncorrected energy -3.839 eV per atom. Number 24: calculated formation energy 0.579 eV/atom, uncorrected energy -4.314 eV per atom. Number 25: calculated formation energy 0.387 eV/atom, uncorrected energy -4.022 eV per atom. Number 26: calculated formation energy -0.293 eV/atom, uncorrected energy -4.105 eV per atom. Number 27: calculated formation energy 0.824 eV/atom, uncorrected energy -1.588 eV per atom. Number 28: calculated formation energy 0.174 eV/atom, uncorrected energy -2.238 eV per atom. Number 29: calculated formation energy -0.153 eV/atom, uncorrected energy -4.516 eV per atom.